Here is a relaxed HoHf3N crystal from Alexandria. Energies are from PBE-GGA.

Cell lengths 4.5848, 4.5848, 4.5848 Å; angles 90.00, 90.00, 90.00 degrees
Space group Pm-3m (No. 221)
Symmetry-distinct sites (fractional):
Ho: 0.0000 0.0000 0.0000
Hf: 0.0000 0.5000 0.5000
N: 0.5000 0.5000 0.5000

The value obtained for the volume is 96 Å³/cell. For the electronic total energy, the calculation gives -45.6 eV/cell. For the formation energy (no corrections), the calculation gives -2.83 eV per formula unit.

---

Here is a relaxed Ho2HfNbN4 crystal from Alexandria. Energies are from PBE-GGA.

Cell lengths 5.6894, 3.2690, 5.7454 Å; angles 90.00, 109.24, 90.00 degrees
Space group P2/m (No. 10)
Symmetry-distinct sites (fractional):
Ho: 0.0000 0.0000 0.0000
Ho: 0.5000 0.5000 0.0000
Hf: 0.0000 0.5000 0.5000
Nb: 0.5000 0.0000 0.5000
N: 0.2397 0.0000 0.7297
N: 0.2546 0.5000 0.2698

The value obtained for the volume is 101 Å³/cell. For the electronic total energy, the calculation gives -75.2 eV/cell. For the formation energy (no corrections), the calculation gives -12.73 eV per formula unit.

---

Here is a relaxed NdHo2HfN4 crystal from Alexandria. Energies are from PBE-GGA.

Cell lengths 5.9183, 3.4210, 5.9759 Å; angles 90.00, 109.21, 90.00 degrees
Space group P2/m (No. 10)
Symmetry-distinct sites (fractional):
Nd: 0.0000 0.0000 0.0000
Ho: 0.5000 0.0000 0.5000
Ho: 0.5000 0.5000 0.0000
Hf: 0.0000 0.5000 0.5000
N: 0.2379 0.0000 0.7285
N: 0.2476 0.5000 0.2720

The value obtained for the volume is 114 Å³/cell. For the electronic total energy, the calculation gives -70.3 eV/cell. For the formation energy (no corrections), the calculation gives -13.08 eV per formula unit.

---

Here is a relaxed HoHf2NiN4 crystal from Alexandria. Energies are from PBE-GGA.

Cell lengths 3.1932, 10.7856, 11.0208 Å; angles 90.00, 90.00, 90.00 degrees
Space group Cmcm (No. 63)
Symmetry-distinct sites (fractional):
Ho: 0.0000 0.1121 0.2500
Hf: 0.0000 0.3682 0.0562
Ni: 0.0000 0.1512 0.7500
N: 0.0000 0.0000 0.0000
N: 0.0000 0.2697 0.6137
N: 0.0000 0.4522 0.2500

The value obtained for the volume is 380 Å³/cell. For the electronic total energy, the calculation gives -298.4 eV/cell. For the formation energy (no corrections), the calculation gives -11.03 eV per formula unit.

---

Here is a relaxed Ho2HfNpN4 crystal from Alexandria. Energies are from PBE-GGA.

Cell lengths 5.8501, 3.3720, 5.8545 Å; angles 90.00, 109.03, 90.00 degrees
Space group P2/m (No. 10)
Symmetry-distinct sites (fractional):
Ho: 0.0000 0.0000 0.0000
Ho: 0.0000 0.5000 0.5000
Hf: 0.5000 0.0000 0.5000
Np: 0.5000 0.5000 0.0000
N: 0.2642 0.0000 0.7444
N: 0.2705 0.5000 0.2630

The value obtained for the volume is 109 Å³/cell. For the electronic total energy, the calculation gives -78.1 eV/cell. For the formation energy (no corrections), the calculation gives -12.80 eV per formula unit.

---

Here is a relaxed HoHfNp2N4 crystal from Alexandria. Energies are from PBE-GGA.

Cell lengths 5.8423, 3.3593, 5.8995 Å; angles 90.00, 109.11, 90.00 degrees
Space group P2/m (No. 10)
Symmetry-distinct sites (fractional):
Ho: 0.0000 0.0000 0.0000
Hf: 0.5000 0.5000 0.0000
Np: 0.0000 0.5000 0.5000
Np: 0.5000 0.0000 0.5000
N: 0.2647 0.5000 0.2450
N: 0.2693 0.0000 0.7653

The value obtained for the volume is 109 Å³/cell. For the electronic total energy, the calculation gives -85.2 eV/cell. For the formation energy (no corrections), the calculation gives -11.45 eV per formula unit.

---

Here is a relaxed HoHf2PaN4 crystal from Alexandria. Energies are from PBE-GGA.

Cell lengths 5.7622, 3.3080, 5.8219 Å; angles 90.00, 109.05, 90.00 degrees
Space group P2/m (No. 10)
Symmetry-distinct sites (fractional):
Ho: 0.0000 0.0000 0.0000
Hf: 0.0000 0.5000 0.5000
Hf: 0.5000 0.0000 0.5000
Pa: 0.5000 0.5000 0.0000
N: 0.2417 0.0000 0.7264
N: 0.2605 0.5000 0.2712

The value obtained for the volume is 105 Å³/cell. For the electronic total energy, the calculation gives -81.2 eV/cell. For the formation energy (no corrections), the calculation gives -13.90 eV per formula unit.

---

Here is a relaxed Ho2HfPaN4 crystal from Alexandria. Energies are from PBE-GGA.

Cell lengths 5.8842, 3.3943, 5.8860 Å; angles 90.00, 109.01, 90.00 degrees
Space group P2/m (No. 10)
Symmetry-distinct sites (fractional):
Ho: 0.0000 0.0000 0.0000
Ho: 0.5000 0.5000 0.0000
Hf: 0.0000 0.5000 0.5000
Pa: 0.5000 0.0000 0.5000
N: 0.2370 0.0000 0.7276
N: 0.2428 0.5000 0.2634

The value obtained for the volume is 111 Å³/cell. For the electronic total energy, the calculation gives -75.7 eV/cell. For the formation energy (no corrections), the calculation gives -13.74 eV per formula unit.

---

Here is a relaxed HoHf3Pa2N6 crystal from Alexandria. Energies are from PBE-GGA.

Cell lengths 14.6363, 3.3041, 6.7539 Å; angles 90.00, 104.57, 90.00 degrees
Space group C2/m (No. 12)
Symmetry-distinct sites (fractional):
Ho: 0.0000 0.0000 0.0000
Hf: 0.0000 0.0000 0.5000
Hf: 0.1648 0.5000 0.8327
Pa: 0.1674 0.5000 0.3356
N: 0.0031 0.5000 0.7361
N: 0.1592 0.0000 0.6028
N: 0.1718 0.0000 0.0716

The value obtained for the volume is 316 Å³/cell. For the electronic total energy, the calculation gives -248.1 eV/cell. For the formation energy (no corrections), the calculation gives -20.68 eV per formula unit.

---

Here is a relaxed Pm2HoHfN4 crystal from Alexandria. Energies are from PBE-GGA.

Cell lengths 5.9647, 3.4358, 6.0236 Å; angles 90.00, 109.04, 90.00 degrees
Space group P2/m (No. 10)
Symmetry-distinct sites (fractional):
Pm: 0.0000 0.0000 0.0000
Pm: 0.5000 0.5000 0.0000
Ho: 0.0000 0.5000 0.5000
Hf: 0.5000 0.0000 0.5000
N: 0.2571 0.0000 0.7272
N: 0.2713 0.5000 0.2789

The value obtained for the volume is 117 Å³/cell. For the electronic total energy, the calculation gives -70.3 eV/cell. For the formation energy (no corrections), the calculation gives -12.98 eV per formula unit.

---

Here is a relaxed PmHo2HfN4 crystal from Alexandria. Energies are from PBE-GGA.

Cell lengths 5.9048, 3.4112, 5.9499 Å; angles 90.00, 109.21, 90.00 degrees
Space group P2/m (No. 10)
Symmetry-distinct sites (fractional):
Pm: 0.0000 0.0000 0.0000
Ho: 0.5000 0.0000 0.5000
Ho: 0.5000 0.5000 0.0000
Hf: 0.0000 0.5000 0.5000
N: 0.2370 0.0000 0.7294
N: 0.2464 0.5000 0.2695

The value obtained for the volume is 113 Å³/cell. For the electronic total energy, the calculation gives -70.5 eV/cell. For the formation energy (no corrections), the calculation gives -13.36 eV per formula unit.

---

Here is a relaxed PrHoHfN3 crystal from Alexandria. Energies are from PBE-GGA.

Cell lengths 6.5049, 3.3096, 9.5828 Å; angles 90.00, 94.12, 90.00 degrees
Space group P2_1/m (No. 11)
Symmetry-distinct sites (fractional):
Pr: 0.1594 0.2500 0.2126
Ho: 0.2031 0.2500 0.5744
Hf: 0.3515 0.7500 0.8931
N: 0.1484 0.2500 0.8363
N: 0.1519 0.7500 0.4203
N: 0.4021 0.7500 0.1078

The value obtained for the volume is 206 Å³/cell. For the electronic total energy, the calculation gives -105.0 eV/cell. For the formation energy (no corrections), the calculation gives -8.20 eV per formula unit.